Material: NaCSe2Br
Method: DFT, PBE
State: relaxed

ΔE_f (raw) = 1.87 eV/atom
Electronic total energy = -9.813 eV per cell
Calculated volume = 30.95 Å³ per atom
E above lowest polymorph = 1450 meV per atom

Cell lengths 5.361, 5.361, 5.384 Å; angles 90.00, 90.00, 90.00 degrees
Atoms (fractional coordinates):
Na 0.000 0.000 0.000
C 0.500 0.500 0.500
Se 0.000 0.500 0.000
Se 0.500 0.000 0.000
Br 0.000 0.000 0.500